Model A:
Entry from the Alexandria database: Be2VW after structural relaxation (GGA-PBE).

Geometry as POSCAR:
```
Be2VW
1.0
3.445 0.000 0.000
0.000 3.669 0.000
0.000 0.000 3.669
Be W V
2 1 1
direct
0.000 0.000 0.500
0.000 0.500 0.000
0.500 0.000 0.000
0.500 0.500 0.500
```

Values from the calculation:
Calculated volume   46.4 Å³ per cell
Total magnetic moment   0.000 μB per atom
Fermi-level density of states   1.78 states/eV/cell
SG   P4/mmm

---

Model B:
Entry from the Alexandria database: Be2VW after structural relaxation (GGA-PBE).

Geometry as POSCAR:
```
Be2VW
1.0
0.000 2.843 2.843
2.843 0.000 2.843
2.843 2.843 0.000
Be W V
2 1 1
direct
0.250 0.250 0.250
0.750 0.750 0.750
0.500 0.500 0.500
0.000 0.000 0.000
```

Values from the calculation:
Calculated volume   46.0 Å³ per cell
Total magnetic moment   0.000 μB per atom
Fermi-level density of states   2.29 states/eV/cell
SG   Fm-3m

---

Model C:
Entry from the Alexandria database: Be2VW after structural relaxation (GGA-PBE).

Geometry as POSCAR:
```
Be2VW
1.0
-2.104 -2.278 1.231
1.024 -3.142 0.456
1.083 -0.676 5.120
Be W V
2 1 1
direct
0.255 0.255 0.234
0.745 0.745 0.766
0.500 0.500 0.500
0.000 0.000 0.000
```

Values from the calculation:
Calculated volume   47.4 Å³ per cell
Total magnetic moment   0.000 μB per atom
Fermi-level density of states   1.59 states/eV/cell
SG   R-3m

---

Most stable structure - model A; separation to the second - 150 meV/atom.

---

Model A:
Entry from the Alexandria database: BeV2Zn after structural relaxation (GGA-PBE).

Geometry as POSCAR:
```
BeV2Zn
1.0
-0.428 2.979 1.607
-3.364 -0.556 0.136
-0.872 -3.006 8.961
Be Zn V
2 2 4
direct
0.500 0.500 0.000
0.250 0.750 0.500
0.000 0.000 0.000
0.750 0.250 0.500
0.618 0.125 0.250
0.132 0.625 0.250
0.375 0.382 0.750
0.875 0.868 0.750
```

Values from the calculation:
Calculated volume   106.9 Å³ per cell
Total magnetic moment   0.000 μB per atom
Fermi-level density of states   7.63 states/eV/cell
SG   I-42d

---

Model B:
Entry from the Alexandria database: BeV2Zn after structural relaxation (GGA-PBE).

Geometry as POSCAR:
```
BeV2Zn
1.0
0.000 2.921 2.921
2.921 0.000 2.921
2.921 2.921 0.000
Be Zn V
1 1 2
direct
0.000 0.000 0.000
0.500 0.500 0.500
0.250 0.250 0.250
0.750 0.750 0.750
```

Values from the calculation:
Calculated volume   49.9 Å³ per cell
Total magnetic moment   0.025 μB per atom
Fermi-level density of states   5.51 states/eV/cell
SG   Fm-3m

---

Most stable structure - model B; separation to the second - 385 meV/atom.

---

Model A:
Entry from the Alexandria database: BeV2Zn after structural relaxation (GGA-PBE).

Geometry as POSCAR:
```
BeV2Zn
1.0
-3.681 0.251 1.387
-1.264 -0.710 -3.224
0.045 -3.455 0.743
Be Zn V
1 1 2
direct
0.500 0.000 0.000
0.500 0.500 0.500
0.000 0.000 0.500
0.000 0.500 0.000
```

Values from the calculation:
Calculated volume   49.2 Å³ per cell
Total magnetic moment   0.000 μB per atom
Fermi-level density of states   4.29 states/eV/cell
SG   P4/mmm

---

Model B:
Entry from the Alexandria database: BeV2Zn after structural relaxation (GGA-PBE).

Geometry as POSCAR:
```
BeV2Zn
1.0
-0.900 0.950 2.181
1.808 -1.243 1.288
4.573 5.929 -0.696
Be Zn V
1 1 2
direct
0.500 0.500 0.000
0.500 0.500 0.500
0.000 0.000 0.779
0.000 0.000 0.221
```

Values from the calculation:
Calculated volume   48.7 Å³ per cell
Total magnetic moment   0.000 μB per atom
Fermi-level density of states   1.19 states/eV/cell
SG   P4/mmm

---

Most stable structure - model B; separation to the second - 71 meV/atom.

---

Model A:
Entry from the Alexandria database: BeVZn after structural relaxation (GGA-PBE).

Geometry as POSCAR:
```
BeVZn
1.0
2.625 0.000 0.000
0.000 2.625 0.000
-1.313 -1.313 5.131
Be Zn V
1 1 1
direct
0.336 0.336 0.672
0.986 0.986 0.971
0.679 0.679 0.357
```

Values from the calculation:
Calculated volume   35.4 Å³ per cell
Total magnetic moment   0.000 μB per atom
Fermi-level density of states   1.73 states/eV/cell
SG   I4mm

---

Model B:
Entry from the Alexandria database: BeVZn after structural relaxation (GGA-PBE).

Geometry as POSCAR:
```
BeVZn
1.0
2.745 0.000 0.000
0.000 3.901 0.000
0.000 -1.950 3.378
Be Zn V
1 1 1
direct
0.500 0.333 0.667
0.500 0.667 0.333
0.000 0.000 0.000
```

Values from the calculation:
Calculated volume   36.2 Å³ per cell
Total magnetic moment   0.000 μB per atom
Fermi-level density of states   2.01 states/eV/cell
SG   P-6m2

---

Most stable structure - model A; separation to the second - 65 meV/atom.

---

Model A:
Entry from the Alexandria database: Be2VZn2 after structural relaxation (GGA-PBE).

Geometry as POSCAR:
```
Be2VZn2
1.0
6.770 0.000 0.000
0.000 6.770 0.000
0.000 0.000 2.516
Be Zn V
4 4 2
direct
0.377 0.877 0.000
0.877 0.623 0.000
0.623 0.123 0.000
0.123 0.377 0.000
0.174 0.674 0.500
0.674 0.826 0.500
0.826 0.326 0.500
0.326 0.174 0.500
0.000 0.000 0.000
0.500 0.500 0.000
```

Values from the calculation:
Calculated volume   115.3 Å³ per cell
Total magnetic moment   0.139 μB per atom
Fermi-level density of states   5.41 states/eV/cell
SG   P4/mbm

---

Model B:
Entry from the Alexandria database: Be2VZn2 after structural relaxation (GGA-PBE).

Geometry as POSCAR:
```
Be2VZn2
1.0
6.874 0.000 0.000
0.000 6.874 0.000
0.000 0.000 2.474
Be Zn V
4 4 2
direct
0.172 0.672 0.500
0.672 0.828 0.500
0.828 0.328 0.500
0.328 0.172 0.500
0.370 0.870 0.000
0.870 0.630 0.000
0.630 0.130 0.000
0.130 0.370 0.000
0.000 0.000 0.000
0.500 0.500 0.000
```

Values from the calculation:
Calculated volume   116.9 Å³ per cell
Total magnetic moment   0.057 μB per atom
Fermi-level density of states   6.56 states/eV/cell
SG   P4/mbm

---

Most stable structure - model A; separation to the second - 32 meV/atom.

---

Model A:
Entry from the Alexandria database: BeVZn3 after structural relaxation (GGA-PBE).

Geometry as POSCAR:
```
BeVZn3
1.0
4.213 0.000 0.000
0.000 4.213 0.000
0.000 0.000 4.213
Be Zn V
1 3 1
direct
0.000 0.000 0.000
0.000 0.500 0.000
0.000 0.000 0.500
0.500 0.000 0.000
0.500 0.500 0.500
```

Values from the calculation:
Calculated volume   74.8 Å³ per cell
Total magnetic moment   0.535 μB per atom
Fermi-level density of states   5.26 states/eV/cell
SG   Pm-3m

---

Model B:
Entry from the Alexandria database: BeVZn3 after structural relaxation (GGA-PBE).

Geometry as POSCAR:
```
BeVZn3
1.0
-2.113 0.528 4.366
-1.294 -4.703 -0.057
4.203 -1.182 2.177
Be Zn V
1 3 1
direct
0.500 0.500 0.500
0.000 0.500 0.000
0.000 0.000 0.500
0.500 0.000 0.000
0.000 0.000 0.000
```

Values from the calculation:
Calculated volume   116.1 Å³ per cell
Total magnetic moment   0.733 μB per atom
Fermi-level density of states   4.85 states/eV/cell
SG   Pm-3m

---

Most stable structure - model A; separation to the second - 789 meV/atom.

---

Model A:
Entry from the Alexandria database: Zr3BeV after structural relaxation (GGA-PBE).

Geometry as POSCAR:
```
Zr3BeV
1.0
-0.491 -1.180 4.546
3.909 -2.638 -0.262
2.605 3.735 1.251
Be Zr V
1 3 1
direct
0.000 0.000 0.000
0.000 0.500 0.000
0.000 0.000 0.500
0.500 0.000 0.000
0.500 0.500 0.500
```

Values from the calculation:
Calculated volume   105.3 Å³ per cell
Total magnetic moment   0.681 μB per atom
Fermi-level density of states   6.53 states/eV/cell
SG   Pm-3m

---

Model B:
Entry from the Alexandria database: Zr3BeV after structural relaxation (GGA-PBE).

Geometry as POSCAR:
```
Zr3BeV
1.0
-4.148 1.924 -1.551
-2.045 -0.972 4.265
1.388 4.320 1.650
Be Zr V
1 3 1
direct
0.500 0.500 0.500
0.000 0.500 0.000
0.000 0.000 0.500
0.500 0.000 0.000
0.000 0.000 0.000
```

Values from the calculation:
Calculated volume   112.6 Å³ per cell
Total magnetic moment   0.000 μB per atom
Fermi-level density of states   5.68 states/eV/cell
SG   Pm-3m

---

Most stable structure - model A; separation to the second - 344 meV/atom.

---

Model A:
Entry from the Alexandria database: Be2W after structural relaxation (GGA-PBE).

Geometry as POSCAR:
```
Be2W
1.0
-1.913 -3.228 -2.407
-0.024 -0.227 4.452
-6.358 3.655 0.152
Be W
8 4
direct
0.000 0.000 0.000
0.000 0.000 0.500
0.830 0.660 0.250
0.170 0.340 0.750
0.340 0.170 0.250
0.830 0.170 0.250
0.170 0.830 0.750
0.660 0.830 0.750
0.333 0.667 0.063
0.667 0.333 0.563
0.667 0.333 0.937
0.333 0.667 0.437
```

Values from the calculation:
Calculated volume   126.2 Å³ per cell
Total magnetic moment   0.000 μB per atom
Fermi-level density of states   3.35 states/eV/cell
SG   P6_3/mmc

---

Model B:
Entry from the Alexandria database: Be2W after structural relaxation (GGA-PBE).

Geometry as POSCAR:
```
Be2W
1.0
1.285 4.412 0.007
-1.285 4.412 0.007
0.000 0.290 5.953
Be W
4 2
direct
0.959 0.959 0.064
0.338 0.338 0.329
0.720 0.720 0.581
0.603 0.603 0.281
0.983 0.983 0.644
0.230 0.230 0.934
```

Values from the calculation:
Calculated volume   67.5 Å³ per cell
Total magnetic moment   0.000 μB per atom
Fermi-level density of states   2.12 states/eV/cell
SG   Cm

---

Most stable structure - model A; separation to the second - 506 meV/atom.